(1)
Entry from the Alexandria database: an optimized crystal structure of Cs3AgTe (PBE).

```
data_Cs3AgTe
_cell_length_a 5.575
_cell_length_b 9.897
_cell_length_c 10.199
_cell_angle_alpha 115.23
_cell_angle_beta 89.97
_cell_angle_gamma 90.01
_space_group_name_H-M_alt 'P 1'
_space_group_IT_number 1
loop_
_space_group_symop_operation_xyz
'x,y,z'
loop_
_atom_site_label
_atom_site_fract_x
_atom_site_fract_y
_atom_site_fract_z
Ag1 0.268 0.541 0.669
Ag2 0.768 0.613 0.753
Cs1 0.773 0.644 0.414
Cs2 0.273 0.510 0.008
Cs3 0.273 0.253 0.292
Cs4 0.774 0.901 0.130
Cs5 0.772 0.207 0.631
Cs6 0.272 0.946 0.790
Te1 0.273 0.908 0.387
Te2 0.773 0.247 0.035
```

DFT total energy	-2.30	eV/atom
ΔE to the lowest computed polymorph	0.000	eV/atom
spin magnetization	0.00	Bohr magnetons per cell

=====

(2)
Entry from the Alexandria database: an optimized crystal structure of La2TlIn2 (PBE).

```
data_La2TlIn2
_cell_length_a 4.097
_cell_length_b 4.097
_cell_length_c 10.093
_cell_angle_alpha 78.29
_cell_angle_beta 78.29
_cell_angle_gamma 90.00
_space_group_name_H-M_alt 'P 1'
_space_group_IT_number 1
loop_
_space_group_symop_operation_xyz
'x,y,z'
loop_
_atom_site_label
_atom_site_fract_x
_atom_site_fract_y
_atom_site_fract_z
In1 0.250 0.750 0.500
In2 0.750 0.250 0.500
La1 0.400 0.400 0.201
La2 0.600 0.600 0.799
Tl1 0.000 0.000 0.000
```

DFT total energy	-3.73	eV/atom
formation energy	-0.195	eV/atom
spin magnetization	0.00	Bohr magnetons per cell

=====

(3)
Entry from the Alexandria database: an optimized crystal structure of Sc2BiH (PBE).

```
data_Sc2BiH
_cell_length_a 8.646
_cell_length_b 8.646
_cell_length_c 8.646
_cell_angle_alpha 22.69
_cell_angle_beta 22.69
_cell_angle_gamma 22.69
_space_group_name_H-M_alt 'P 1'
_space_group_IT_number 1
loop_
_space_group_symop_operation_xyz
'x,y,z'
loop_
_atom_site_label
_atom_site_fract_x
_atom_site_fract_y
_atom_site_fract_z
Sc1 0.120 0.120 0.120
Sc2 0.880 0.880 0.880
Bi1 0.000 0.000 0.000
H1 0.500 0.500 0.500
```

DFT total energy	-5.09	eV/atom
ΔE to the lowest computed polymorph	0.463	eV/atom
spin magnetization	0.00	Bohr magnetons per cell

=====

(4)
Entry from the Alexandria database: an optimized crystal structure of Li3ZrAu (PBE).

```
data_Li3ZrAu
_cell_length_a 4.631
_cell_length_b 4.631
_cell_length_c 4.631
_cell_angle_alpha 90.00
_cell_angle_beta 90.00
_cell_angle_gamma 90.00
_space_group_name_H-M_alt 'P 1'
_space_group_IT_number 1
loop_
_space_group_symop_operation_xyz
'x,y,z'
loop_
_atom_site_label
_atom_site_fract_x
_atom_site_fract_y
_atom_site_fract_z
Li1 0.000 0.000 0.500
Li2 0.500 0.000 0.000
Li3 0.000 0.500 0.000
Au1 0.000 0.000 0.000
Zr1 0.500 0.500 0.500
```

DFT total energy	-3.19	eV/atom
ΔE to the lowest computed polymorph	0.000	eV/atom
formation energy	0.325	eV/atom
spin magnetization	1.55	Bohr magnetons per cell

=====

| no. | calculated density (g/cm³) |
| --- | --- |
| 1 | 4.137 |
| 2 | 7.285 |
| 3 | 5.904 |
| 4 | 5.167 |